Entry from Alexandria via LeMat-Bulk: crystalline Pr2LuPa at its relaxed geometry (PBE).

Cell and atoms, written as POSCAR:
```
Pr2LuPa
1.0
-2.582 2.161 -0.316
-3.135 -0.983 0.801
-0.118 4.242 11.875
Pr Pa Lu
2 1 1
Direct
0.087 0.087 0.740 Pr
0.913 0.913 0.260 Pr
0.000 0.000 0.000 Pa
0.500 0.500 0.500 Lu
```

N(E_F)   1.454 states/eV per atom
Density   9.26 g/cm³
Relative energy among the computed polymorphs   124 meV per atom
Formation enthalpy at 0 K   0.32 eV/atom
Magnetization   0.00 μB per cell